{
  "formula": "Pm5SmPb4",
  "functional": "GGA-PBE",
  "state": "relaxed",
  "lattice_angstrom": [[8.347, -2.755, 0.000], [8.347, 2.755, 0.000], [-0.005, 0.000, 7.340]],
  "species": ["Pm", "Pm", "Pm", "Pm", "Pm", "Sm", "Pb", "Pb", "Pb", "Pb"],
  "fractional_positions": [[0.000, 0.000, 0.000], [0.334, 0.334, 0.007], [0.334, 0.334, 0.492], [0.666, 0.666, 0.508], [0.666, 0.666, 0.993], [0.000, 0.000, 0.500], [0.176, 0.176, 0.750], [0.491, 0.491, 0.749], [0.509, 0.509, 0.251], [0.824, 0.824, 0.250]],
  "crystal_system": "monoclinic",
  "energy_ev_per_atom": -4.713,
  "ef_ev_per_atom": -0.383,
  "sg": "C2/m (12)"
}

{
  "formula": "PmSm3Pb4",
  "functional": "GGA-PBE",
  "state": "relaxed",
  "lattice_angstrom": [[9.405, -2.550, 0.000], [9.405, 2.550, 0.000], [-1.369, 0.000, 4.917]],
  "species": ["Pm", "Sm", "Sm", "Sm", "Pb", "Pb", "Pb", "Pb"],
  "fractional_positions": [[0.000, 0.000, 0.000], [0.250, 0.250, 0.250], [0.500, 0.500, 0.500], [0.750, 0.750, 0.750], [0.125, 0.125, 0.625], [0.375, 0.375, 0.875], [0.625, 0.625, 0.125], [0.875, 0.875, 0.375]],
  "crystal_system": "monoclinic",
  "energy_ev_per_atom": -4.710,
  "ef_ev_per_atom": -0.492,
  "sg": "C2/m (12)"
}

{
  "formula": "Pm12Sm7Pb",
  "functional": "GGA-PBE",
  "state": "relaxed",
  "lattice_angstrom": [[5.468, 3.157, 6.692], [-5.468, 3.157, 6.692], [0.000, -6.314, 6.692]],
  "species": ["Pm", "Pm", "Pm", "Pm", "Pm", "Pm", "Pm", "Pm", "Pm", "Pm", "Pm", "Pm", "Sm", "Sm", "Sm", "Sm", "Sm", "Sm", "Sm", "Pb"],
  "fractional_positions": [[0.024, 0.024, 0.660], [0.024, 0.660, 0.024], [0.265, 0.265, 0.632], [0.265, 0.632, 0.265], [0.340, 0.976, 0.976], [0.368, 0.735, 0.735], [0.632, 0.265, 0.265], [0.660, 0.024, 0.024], [0.735, 0.368, 0.735], [0.735, 0.735, 0.368], [0.976, 0.340, 0.976], [0.976, 0.976, 0.340], [0.000, 0.000, 0.000], [0.005, 0.646, 0.646], [0.354, 0.354, 0.995], [0.354, 0.995, 0.354], [0.646, 0.005, 0.646], [0.646, 0.646, 0.005], [0.995, 0.354, 0.354], [0.500, 0.500, 0.500]],
  "crystal_system": "trigonal",
  "energy_ev_per_atom": -4.564,
  "ef_ev_per_atom": 0.124,
  "sg": "R-3m (166)"
}

{
  "formula": "PmSm3Pb3",
  "functional": "GGA-PBE",
  "state": "relaxed",
  "lattice_angstrom": [[9.473, 0.000, 0.000], [-4.737, 8.204, 0.000], [0.000, 0.000, 5.588]],
  "species": ["Pm", "Pm", "Sm", "Sm", "Sm", "Sm", "Sm", "Sm", "Pb", "Pb", "Pb", "Pb", "Pb", "Pb"],
  "fractional_positions": [[0.333, 0.667, 0.250], [0.667, 0.333, 0.750], [0.005, 0.765, 0.250], [0.235, 0.240, 0.250], [0.240, 0.005, 0.750], [0.760, 0.995, 0.250], [0.765, 0.760, 0.750], [0.995, 0.235, 0.750], [0.078, 0.624, 0.750], [0.376, 0.454, 0.750], [0.454, 0.078, 0.250], [0.546, 0.922, 0.750], [0.624, 0.546, 0.250], [0.922, 0.376, 0.250]],
  "crystal_system": "hexagonal",
  "energy_ev_per_atom": -4.664,
  "ef_ev_per_atom": -0.374,
  "sg": "P6_3/m (176)"
}

| no. | calculated density (Mg/m³) |
| --- | --- |
| 1 | 8.38 |
| 2 | 10.03 |
| 3 | 7.19 |
| 4 | 9.31 |